No. 1
The following is a GGA-PBE calculation of an optimized crystal structure of PmHAu2, from the Alexandria database.

Structure (CIF):
```
data_PmHAu2
_chemical_formula_sum 'Pm2 H2 Au4'
_symmetry_space_group_name_H-M 'P 1 21/m 1'
_symmetry_Int_Tables_number 11
_symmetry_space_group_name_Hall '-P 2yb'
_cell_length_a 3.931
_cell_length_b 7.842
_cell_length_c 5.152
_cell_angle_alpha 90.00
_cell_angle_beta 112.01
_cell_angle_gamma 90.00
loop_
_atom_site_label
_atom_site_fract_x
_atom_site_fract_y
_atom_site_fract_z
Pm1 0.060 0.250 0.127
H1 0.338 0.750 0.665
Au1 0.354 0.053 0.711
```

Calculated values
Total energy   -33.2 eV/cell
Magnetic moment   0.00 μB/cell



No. 2
The following is a GGA-PBE calculation of an optimized crystal structure of NdHoZnPt, from the Alexandria database.

Structure (CIF):
```
data_NdHoZnPt
_chemical_formula_sum 'Nd2 Ho2 Zn2 Pt2'
_symmetry_space_group_name_H-M 'A m m 2'
_symmetry_Int_Tables_number 38
_symmetry_space_group_name_Hall 'A 2 -2'
_cell_length_a 4.450
_cell_length_b 3.900
_cell_length_c 10.952
_cell_angle_alpha 90.00
_cell_angle_beta 90.00
_cell_angle_gamma 90.00
loop_
_atom_site_label
_atom_site_fract_x
_atom_site_fract_y
_atom_site_fract_z
Nd1 0.000 0.000 0.000
Ho1 0.500 0.000 0.282
Zn1 0.500 0.000 0.571
Pt1 0.000 0.000 0.720
```

Calculated values
Magnetic moment   0.00 μB/cell
Energy relative to the elements   -3.067 eV/f.u.



No. 3
The following is a GGA-PBE calculation of an optimized crystal structure of Tm5Pa3Ir12, from the Alexandria database.

Structure (CIF):
```
data_Tm5Pa3Ir12
_chemical_formula_sum 'Tm40 Pa24 Ir96'
_symmetry_space_group_name_H-M 'I a -3 d'
_symmetry_Int_Tables_number 230
_symmetry_space_group_name_Hall '-I 4bd 2c 3'
_cell_length_a 15.766
_cell_length_b 15.766
_cell_length_c 15.766
_cell_angle_alpha 90.00
_cell_angle_beta 90.00
_cell_angle_gamma 90.00
loop_
_atom_site_label
_atom_site_fract_x
_atom_site_fract_y
_atom_site_fract_z
Tm1 0.000 0.000 0.000
Tm2 0.000 0.250 0.375
Pa1 0.000 0.250 0.125
Ir1 0.007 0.086 0.649
```

Calculated values
Magnetic moment   0.00 μB/cell
Energy relative to the elements   0.720 eV/f.u.



No. 4
The following is a GGA-PBE calculation of an optimized crystal structure of Ca2TaGe4Pt3, from the Alexandria database.

Structure (CIF):
```
data_Ca2TaGe4Pt3
_chemical_formula_sum 'Ca2 Ta1 Ge4 Pt3'
_symmetry_space_group_name_H-M 'P -4 m 2'
_symmetry_Int_Tables_number 115
_symmetry_space_group_name_Hall 'P -4 -2'
_cell_length_a 4.190
_cell_length_b 4.190
_cell_length_c 11.132
_cell_angle_alpha 90.00
_cell_angle_beta 90.00
_cell_angle_gamma 90.00
loop_
_atom_site_label
_atom_site_fract_x
_atom_site_fract_y
_atom_site_fract_z
Ca1 0.000 0.500 0.246
Ta1 0.000 0.000 0.500
Ge1 0.000 0.000 0.000
Ge2 0.000 0.500 0.644
Ge3 0.500 0.500 0.000
Pt1 0.000 0.500 0.871
Pt2 0.500 0.500 0.500
```

Calculated values
Magnetic moment   0.00 μB/cell
Energy relative to the elements   -6.863 eV/f.u.



No. 5
The following is a GGA-PBE calculation of an optimized crystal structure of MgCo2N2, from the Alexandria database.

Structure (CIF):
```
data_MgCo2N2
_chemical_formula_sum 'Mg2 Co4 N4'
_symmetry_space_group_name_H-M 'P 4/m b m'
_symmetry_Int_Tables_number 127
_symmetry_space_group_name_Hall '-P 4 2ab'
_cell_length_a 6.632
_cell_length_b 6.632
_cell_length_c 2.964
_cell_angle_alpha 90.00
_cell_angle_beta 90.00
_cell_angle_gamma 90.00
loop_
_atom_site_label
_atom_site_fract_x
_atom_site_fract_y
_atom_site_fract_z
Mg1 0.000 0.000 0.000
Co1 0.121 0.379 0.000
N1 0.211 0.289 0.500
```

Calculated values
Magnetic moment   0.00 μB/cell
E_form (uncorrected)   516 meV per atom



No. 6
The following is a GGA-PBE calculation of an optimized crystal structure of BaZr3Pb, from the Alexandria database.

Structure (CIF):
```
data_BaZr3Pb
_chemical_formula_sum 'Ba1 Zr3 Pb1'
_symmetry_space_group_name_H-M 'P m -3 m'
_symmetry_Int_Tables_number 221
_symmetry_space_group_name_Hall '-P 4 2 3'
_cell_length_a 5.319
_cell_length_b 5.319
_cell_length_c 5.319
_cell_angle_alpha 90.00
_cell_angle_beta 90.00
_cell_angle_gamma 90.00
loop_
_atom_site_label
_atom_site_fract_x
_atom_site_fract_y
_atom_site_fract_z
Ba1 0.000 0.000 0.000
Zr1 0.000 0.000 0.500
Pb1 0.500 0.500 0.500
```

Calculated values
Magnetic moment   0.01 μB/cell
Energy relative to the elements   7.996 eV/f.u.



No. 7
The following is a GGA-PBE calculation of an optimized crystal structure of Mn2AsIr, from the Alexandria database.

Structure (CIF):
```
data_Mn2AsIr
_chemical_formula_sum 'Mn4 As2 Ir2'
_symmetry_space_group_name_H-M 'C m m m'
_symmetry_Int_Tables_number 65
_symmetry_space_group_name_Hall '-C 2 2'
_cell_length_a 5.177
_cell_length_b 7.381
_cell_length_c 2.951
_cell_angle_alpha 90.00
_cell_angle_beta 90.00
_cell_angle_gamma 90.00
loop_
_atom_site_label
_atom_site_fract_x
_atom_site_fract_y
_atom_site_fract_z
Mn1 0.250 0.250 0.000
As1 0.000 0.000 0.500
Ir1 0.000 0.500 0.500
```

Calculated values
Magnetic moment   12.23 μB/cell
Energy relative to the elements   -0.187 eV/f.u.



No. 8
The following is a GGA-PBE calculation of an optimized crystal structure of Ca2YTlC, from the Alexandria database.

Structure (CIF):
```
data_Ca2YTlC
_chemical_formula_sum 'Ca2 Y1 Tl1 C1'
_symmetry_space_group_name_H-M 'P 4/m m m'
_symmetry_Int_Tables_number 123
_symmetry_space_group_name_Hall '-P 4 2'
_cell_length_a 5.151
_cell_length_b 5.151
_cell_length_c 4.797
_cell_angle_alpha 90.00
_cell_angle_beta 90.00
_cell_angle_gamma 90.00
loop_
_atom_site_label
_atom_site_fract_x
_atom_site_fract_y
_atom_site_fract_z
Ca1 0.000 0.500 0.000
Y1 0.000 0.000 0.500
Tl1 0.500 0.500 0.500
C1 0.000 0.000 0.000
```

Calculated values
Magnetic moment   0.00 μB/cell
Energy relative to the elements   -0.727 eV/f.u.



No. 9
The following is a GGA-PBE calculation of an optimized crystal structure of Li4Bi3Sb, from the Alexandria database.

Structure (CIF):
```
data_Li4Bi3Sb
_chemical_formula_sum 'Li4 Bi3 Sb1'
_symmetry_space_group_name_H-M 'P 4/m m m'
_symmetry_Int_Tables_number 123
_symmetry_space_group_name_Hall '-P 4 2'
_cell_length_a 3.321
_cell_length_b 3.321
_cell_length_c 17.074
_cell_angle_alpha 90.00
_cell_angle_beta 90.00
_cell_angle_gamma 90.00
loop_
_atom_site_label
_atom_site_fract_x
_atom_site_fract_y
_atom_site_fract_z
Li1 0.000 0.000 0.117
Li2 0.000 0.000 0.373
Bi1 0.500 0.500 0.248
Bi2 0.500 0.500 0.500
Sb1 0.500 0.500 0.000
```

Calculated values
Magnetic moment   0.00 μB/cell
E_form (uncorrected)   -383 meV per atom



No. 10
The following is a GGA-PBE calculation of an optimized crystal structure of HoBeZn2Au4, from the Alexandria database.

Structure (CIF):
```
data_HoBeZn2Au4
_chemical_formula_sum 'Ho3 Be3 Zn6 Au12'
_symmetry_space_group_name_H-M 'R -3 m'
_symmetry_Int_Tables_number 166
_symmetry_space_group_name_Hall '-R 3 2"'
_cell_length_a 4.4778
_cell_length_b 4.4778
_cell_length_c 24.1182
_cell_angle_alpha 90.00
_cell_angle_beta 90.00
_cell_angle_gamma 120.00
loop_
_atom_site_label
_atom_site_fract_x
_atom_site_fract_y
_atom_site_fract_z
Ho1 0.0000 0.0000 0.0000
Be1 0.0000 0.0000 0.5000
Zn1 0.0000 0.0000 0.2499
Au1 0.0000 0.0000 0.1350
Au2 0.0000 0.0000 0.3989
```

Calculated values
Magnetic moment   0.00 μB/cell
Energy relative to the elements   -3.023 eV/f.u.



No. 11
The following is a GGA-PBE calculation of an optimized crystal structure of SrLa3Al, from the Alexandria database.

Structure (CIF):
```
data_SrLa3Al
_chemical_formula_sum 'Sr1 La3 Al1'
_symmetry_space_group_name_H-M 'P m -3 m'
_symmetry_Int_Tables_number 221
_symmetry_space_group_name_Hall '-P 4 2 3'
_cell_length_a 5.804
_cell_length_b 5.804
_cell_length_c 5.804
_cell_angle_alpha 90.00
_cell_angle_beta 90.00
_cell_angle_gamma 90.00
loop_
_atom_site_label
_atom_site_fract_x
_atom_site_fract_y
_atom_site_fract_z
Sr1 0.000 0.000 0.000
La1 0.000 0.000 0.500
Al1 0.500 0.500 0.500
```

Calculated values
Magnetic moment   0.00 μB/cell
Energy relative to the elements   5.058 eV/f.u.



No. 12
The following is a GGA-PBE calculation of an optimized crystal structure of Cd2Ag2P, from the Alexandria database.

Structure (CIF):
```
data_Cd2Ag2P
_chemical_formula_sum 'Cd4 Ag4 P2'
_symmetry_space_group_name_H-M 'I 4/m m m'
_symmetry_Int_Tables_number 139
_symmetry_space_group_name_Hall '-I 4 2'
_cell_length_a 3.788
_cell_length_b 3.788
_cell_length_c 14.715
_cell_angle_alpha 90.00
_cell_angle_beta 90.00
_cell_angle_gamma 90.00
loop_
_atom_site_label
_atom_site_fract_x
_atom_site_fract_y
_atom_site_fract_z
Cd1 0.000 0.000 0.096
Ag1 0.000 0.500 0.250
P1 0.000 0.000 0.500
```

Calculated values
Magnetic moment   0.00 μB/cell
Energy relative to the elements   1.300 eV/f.u.



No. 13
The following is a GGA-PBE calculation of an optimized crystal structure of MnIn2I4, from the Alexandria database.

Structure (CIF):
```
data_MnIn2I4
_chemical_formula_sum 'Mn2 In4 I8'
_symmetry_space_group_name_H-M 'P 1 21/m 1'
_symmetry_Int_Tables_number 11
_symmetry_space_group_name_Hall '-P 2yb'
_cell_length_a 7.926
_cell_length_b 8.245
_cell_length_c 9.499
_cell_angle_alpha 90.00
_cell_angle_beta 107.65
_cell_angle_gamma 90.00
loop_
_atom_site_label
_atom_site_fract_x
_atom_site_fract_y
_atom_site_fract_z
Mn1 0.228 0.250 0.303
In1 0.231 0.750 0.555
In2 0.233 0.750 0.060
I1 0.000 0.003 0.761
I2 0.422 0.250 0.588
I3 0.431 0.250 0.123
```

Calculated values
Magnetic moment   10.00 μB/cell
E_form (uncorrected)   -445 meV per atom



No. 14
The following is a GGA-PBE calculation of an optimized crystal structure of ReBi2Te, from the Alexandria database.

Structure (CIF):
```
data_ReBi2Te
_chemical_formula_sum 'Re4 Bi8 Te4'
_symmetry_space_group_name_H-M 'I -4 2 d'
_symmetry_Int_Tables_number 122
_symmetry_space_group_name_Hall 'I -4 2bw'
_cell_length_a 6.774
_cell_length_b 6.774
_cell_length_c 12.845
_cell_angle_alpha 90.00
_cell_angle_beta 90.00
_cell_angle_gamma 90.00
loop_
_atom_site_label
_atom_site_fract_x
_atom_site_fract_y
_atom_site_fract_z
Re1 0.000 0.000 0.000
Bi1 0.184 0.250 0.125
Te1 0.000 0.000 0.500
```

Calculated values
Magnetic moment   3.38 μB/cell
E_form (uncorrected)   952 meV per atom



No. 15
The following is a GGA-PBE calculation of an optimized crystal structure of Sm2ZnGa3Ni12, from the Alexandria database.

Structure (CIF):
```
data_Sm2ZnGa3Ni12
_chemical_formula_sum 'Sm6 Zn3 Ga9 Ni36'
_symmetry_space_group_name_H-M 'R -3 m'
_symmetry_Int_Tables_number 166
_symmetry_space_group_name_Hall '-R 3 2"'
_cell_length_a 8.5181
_cell_length_b 8.5181
_cell_length_c 12.1339
_cell_angle_alpha 90.00
_cell_angle_beta 90.00
_cell_angle_gamma 120.00
loop_
_atom_site_label
_atom_site_fract_x
_atom_site_fract_y
_atom_site_fract_z
Sm1 0.0000 0.0000 0.1644
Zn1 0.0000 0.0000 0.5000
Ga1 0.0000 0.5000 0.0000
Ni1 0.0074 0.5037 0.6067
Ni2 0.0181 0.5090 0.2011
```

Calculated values
Magnetic moment   0.00 μB/cell
Energy relative to the elements   -2.199 eV/f.u.



No. 16
The following is a GGA-PBE calculation of an optimized crystal structure of LiCa3Tb3S8, from the Alexandria database.

Structure (CIF):
```
data_LiCa3Tb3S8
_chemical_formula_sum 'Li3 Ca9 Tb9 S24'
_symmetry_space_group_name_H-M 'R -3 m'
_symmetry_Int_Tables_number 166
_symmetry_space_group_name_Hall '-R 3 2"'
_cell_length_a 7.8982
_cell_length_b 7.8982
_cell_length_c 19.5779
_cell_angle_alpha 90.00
_cell_angle_beta 90.00
_cell_angle_gamma 120.00
loop_
_atom_site_label
_atom_site_fract_x
_atom_site_fract_y
_atom_site_fract_z
Li1 0.0000 0.0000 0.0000
Ca1 0.0000 0.5000 0.5000
Tb1 0.0000 0.5000 0.0000
S1 0.0000 0.0000 0.2521
S2 0.0026 0.5013 0.7446
```

Calculated values
Magnetic moment   0.00 μB/cell
E_form (uncorrected)   -1970 meV per atom



No. 17
The following is a GGA-PBE calculation of an optimized crystal structure of HoPu2Pa, from the Alexandria database.

Structure (CIF):
```
data_HoPu2Pa
_chemical_formula_sum 'Ho4 Pu8 Pa4'
_symmetry_space_group_name_H-M 'F m -3 m'
_symmetry_Int_Tables_number 225
_symmetry_space_group_name_Hall '-F 4 2 3'
_cell_length_a 7.548
_cell_length_b 7.548
_cell_length_c 7.548
_cell_angle_alpha 90.00
_cell_angle_beta 90.00
_cell_angle_gamma 90.00
loop_
_atom_site_label
_atom_site_fract_x
_atom_site_fract_y
_atom_site_fract_z
Ho1 0.000 0.000 0.000
Pu1 0.250 0.250 0.250
Pa1 0.000 0.000 0.500
```

Calculated values
Magnetic moment   56.17 μB/cell
Energy relative to the elements   1.121 eV/f.u.



No. 18
The following is a GGA-PBE calculation of an optimized crystal structure of RuPbAu2, from the Alexandria database.

Structure (CIF):
```
data_RuPbAu2
_chemical_formula_sum 'Ru1 Pb1 Au2'
_symmetry_space_group_name_H-M 'P 4 m m'
_symmetry_Int_Tables_number 99
_symmetry_space_group_name_Hall 'P 4 -2'
_cell_length_a 3.509
_cell_length_b 3.509
_cell_length_c 6.146
_cell_angle_alpha 90.00
_cell_angle_beta 90.00
_cell_angle_gamma 90.00
loop_
_atom_site_label
_atom_site_fract_x
_atom_site_fract_y
_atom_site_fract_z
Ru1 0.000 0.000 0.000
Pb1 0.500 0.500 0.778
Au1 0.000 0.000 0.478
Au2 0.500 0.500 0.257
```

Calculated values
Magnetic moment   0.00 μB/cell
Energy relative to the elements   1.426 eV/f.u.



No. 19
The following is a GGA-PBE calculation of an optimized crystal structure of Mg2Pb3O8, from the Alexandria database.

Structure (CIF):
```
data_Mg2Pb3O8
_chemical_formula_sum 'Mg4 Pb6 O16'
_symmetry_space_group_name_H-M 'C 1 2/m 1'
_symmetry_Int_Tables_number 12
_symmetry_space_group_name_Hall '-C 2y'
_cell_length_a 10.299
_cell_length_b 6.425
_cell_length_c 5.694
_cell_angle_alpha 90.00
_cell_angle_beta 100.26
_cell_angle_gamma 90.00
loop_
_atom_site_label
_atom_site_fract_x
_atom_site_fract_y
_atom_site_fract_z
Mg1 0.204 0.000 0.072
Pb1 0.000 0.242 0.500
Pb2 0.000 0.500 0.000
O1 0.105 0.000 0.349
O2 0.112 0.500 0.364
O3 0.132 0.272 0.864
```

Calculated values
Magnetic moment   0.00 μB/cell
E_form (uncorrected)   -1341 meV per atom



No. 20
The following is a GGA-PBE calculation of an optimized crystal structure of MnAlTe2N, from the Alexandria database.

Structure (CIF):
```
data_MnAlTe2N
_chemical_formula_sum 'Mn1 Al1 Te2 N1'
_symmetry_space_group_name_H-M 'P 4/m m m'
_symmetry_Int_Tables_number 123
_symmetry_space_group_name_Hall '-P 4 2'
_cell_length_a 5.668
_cell_length_b 5.668
_cell_length_c 3.456
_cell_angle_alpha 90.00
_cell_angle_beta 90.00
_cell_angle_gamma 90.00
loop_
_atom_site_label
_atom_site_fract_x
_atom_site_fract_y
_atom_site_fract_z
Mn1 0.000 0.000 0.000
Al1 0.500 0.500 0.500
Te1 0.000 0.500 0.500
N1 0.500 0.500 0.000
```

Calculated values
Magnetic moment   4.53 μB/cell
E_form (uncorrected)   375 meV per atom